Record 1
DFT (PBE) results for an optimized crystal structure of Ta3As. Values from VASP.

Geometry as Quantum ESPRESSO input:
```
&SYSTEM
  ibrav = 0, nat = 4, ntyp = 2
/
ATOMIC_SPECIES
As 74.92 As.upf
Ta 180.95 Ta.upf
CELL_PARAMETERS angstrom
4.7801 0.0000 0.0000
0.0000 4.7801 0.0000
0.0000 0.0000 4.7801
ATOMIC_POSITIONS crystal
As 0.0000 0.0000 0.0000
Ta 0.0000 0.5000 0.0000
Ta 0.0000 0.0000 0.5000
Ta 0.5000 0.0000 0.0000
```

Output
space-group type = Pm-3m
DOS at the Fermi energy = 1.040 states/eV/atom
formation enthalpy at 0 K = 179.41 kJ/mol of atoms
V = 109 Å³ per cell

Record 2
DFT (PBE) results for an optimized crystal structure of Ta3As. Values from VASP.

Geometry as Quantum ESPRESSO input:
```
&SYSTEM
  ibrav = 0, nat = 4, ntyp = 2
/
ATOMIC_SPECIES
Ta 180.95 Ta.upf
As 74.92 As.upf
CELL_PARAMETERS angstrom
2.8773 0.0000 0.0000
0.0000 2.8773 0.0000
0.0000 0.0000 8.6164
ATOMIC_POSITIONS crystal
Ta 0.5000 0.5000 0.2317
As 0.0000 0.0000 0.0000
Ta 0.0000 0.0000 0.5000
Ta 0.5000 0.5000 0.7683
```

Output
space-group type = P4/mmm
DOS at the Fermi energy = 0.816 states/eV/atom
formation enthalpy at 0 K = 12.55 kJ/mol of atoms
V = 71 Å³ per cell